[1]
The following is a DFT calculation (PBE) of NiMoRu after structural relaxation.

abc: 4.2448 4.2448 2.6503
angles: 90.00 90.00 120.00
Closest atoms and distances in Å follow each position.
Space group P3m1 (No. 156)
Inequivalent atoms, fractional coordinates:
Ni  0.0000  0.0000  0.0000 x1  3 Mo 2.46, 2 Ni 2.65, 3 Ru 2.75
Mo  0.6667  0.3333  0.0953 x1  3 Ni 2.46, 2 Mo 2.65, 3 Ru 2.71
Ru  0.3333  0.6667  0.5297 x1  2 Ru 2.65, 6 Mo 2.71-2.87, 6 Ni 2.75-2.82

Output
- theoretical density (g/cm3) = 10.3
- energy above the most stable polymorph in this dataset (meV per atom) = 176
- energy of formation (eV per atom) = 0.12
- total magnetization (μB/cell) = 0.00
- total DFT energy (no corrections) (eV/atom) = -8.5095


[2]
The following is a DFT calculation (PBE) of NiMoRu2 after structural relaxation.

abc: 8.7109 2.7090 4.7365
angles: 90.00 99.23 90.00
Closest atoms and distances in Å follow each position.
Space group C2/m (No. 12)
Inequivalent atoms, fractional coordinates:
Ni  0.0000  0.0000  0.0000 x2  6 Ru 2.61-2.63, 2 Ni 2.71, 4 Mo 2.73
Mo  0.0000  0.5000  0.5000 x2  6 Ru 2.67-2.72, 2 Mo 2.71, 4 Ni 2.73
Ru  0.2471  0.5000  0.2316 x4  6 Ru 2.59-2.87, 3 Ni 2.61-2.63, 3 Mo 2.67-2.72

Output
- theoretical density (g/cm3) = 10.7
- energy above the most stable polymorph in this dataset (meV per atom) = 80
- energy of formation (eV per atom) = 0.07
- total magnetization (μB/cell) = 0.00
- total DFT energy (no corrections) (eV/atom) = -8.7255


[3]
The following is a DFT calculation (PBE) of Ni2MoRu2 after structural relaxation.

abc: 6.8861 6.8861 2.7930
angles: 90.00 90.00 90.00
Closest atoms and distances in Å follow each position.
Space group P4/mbm (No. 127)
Inequivalent atoms, fractional coordinates:
Ni  0.1223  0.3777  0.0000 x4  1 Ni 2.38, 6 Ru 2.43-2.50
Mo  0.0000  0.0000  0.0000 x2  4 Ni 2.73, 2 Mo 2.79, 8 Ru 2.90
Ru  0.1742  0.6742  0.5000 x4  6 Ni 2.43-2.50

Output
- theoretical density (g/cm3) = 10.4
- energy above the most stable polymorph in this dataset (meV per atom) = 0
- energy of formation (eV per atom) = 0.20
- total magnetization (μB/cell) = 0.00
- total DFT energy (no corrections) (eV/atom) = -7.9853


[4]
The following is a DFT calculation (PBE) of Ni2MoRu2 after structural relaxation.

abc: 7.0312 7.0312 2.7296
angles: 90.00 90.00 90.00
Closest atoms and distances in Å follow each position.
Space group P4/mbm (No. 127)
Inequivalent atoms, fractional coordinates:
Ni  0.1706  0.3294  0.0000 x4  6 Ru 2.44-2.51, 2 Ni 2.73
Mo  0.0000  0.0000  0.5000 x2  2 Mo 2.73, 4 Ru 2.77, 8 Ni 2.94
Ru  0.1262  0.6262  0.5000 x4  6 Ni 2.44-2.51, 3 Ru 2.51-2.73

Output
- theoretical density (g/cm3) = 10.2
- energy above the most stable polymorph in this dataset (meV per atom) = 88
- energy of formation (eV per atom) = 0.29
- total magnetization (μB/cell) = 0.00
- total DFT energy (no corrections) (eV/atom) = -7.8974


[5]
The following is a DFT calculation (PBE) of Ni2MoRu after structural relaxation.

abc: 4.5319 2.6773 4.5601
angles: 90.00 109.05 90.00
Closest atoms and distances in Å follow each position.
Space group P2/m (No. 10)
Inequivalent atoms, fractional coordinates:
Ni  0.0000  0.0000  0.0000 x1  4 Ru 2.63, 2 Mo 2.64, 6 Ni 2.64-2.68
Ni  0.0000  0.5000  0.5000 x1  4 Mo 2.63, 2 Ru 2.64, 6 Ni 2.64-2.68
Mo  0.5000  0.0000  0.5000 x1  6 Ni 2.63-2.64, 4 Ru 2.64, 2 Mo 2.68
Ru  0.5000  0.5000  0.0000 x1  6 Ni 2.63-2.64, 4 Mo 2.64, 2 Ru 2.68

Output
- theoretical density (g/cm3) = 10.0
- energy of formation (eV per atom) = 0.12
- total magnetization (μB/cell) = 0.00
- total DFT energy (no corrections) (eV/atom) = -7.8005


[6]
The following is a DFT calculation (PBE) of NiMo4Ru after structural relaxation.

abc: 7.2360 7.2360 7.2360
angles: 90.00 90.00 90.00
Closest atoms and distances in Å follow each position.
Space group F-43m (No. 216)
Inequivalent atoms, fractional coordinates:
Ni  0.0000  0.0000  0.0000 x4  12 Mo 3.00, 4 Ru 3.13
Mo  0.1263  0.1263  0.3737 x16  6 Mo 2.53-2.58
Ru  0.2500  0.2500  0.7500 x4  12 Mo 3.00, 4 Ni 3.13

Output
- theoretical density (g/cm3) = 9.5
- energy of formation (eV per atom) = 0.42
- total magnetization (μB/cell) = 0.00
- total DFT energy (no corrections) (eV/atom) = -9.3093